Below is a geometry-optimized Na2CrTeO structure, with properties calculated at the PBE with a Hubbard U level.

a b c (Å): 4.733 4.733 4.191
angles (deg): 90.00 90.00 90.00
Element x y z (fractional)
Na  0.000  0.500  0.000
Na  0.500  0.000  0.000
Cr  0.000  0.000  0.500
Te  0.500  0.500  0.500
O  0.000  0.000  0.000

- Symmetry: P4/mmm, No. 123
- Total DFT energy (no corrections): -4.66 eV per atom